No. 1
Here is an optimized crystal structure of Pa3Te5H from Alexandria. Energies are from GGA-PBE.

```
18
Lattice="6.363 -5.175 0.000 6.363 5.175 0.000 -2.920 0.000 9.045" Properties=species:S:1:pos:R:3 pbc="T T T"
Pa 0.000 0.000 0.000
Pa -1.460 0.000 4.523
Pa 2.190 0.000 3.770
Pa 1.871 0.000 7.491
Pa 7.936 0.000 1.554
Pa 7.616 0.000 5.275
Te 2.999 3.116 3.354
Te 2.861 0.000 0.744
Te 6.363 2.171 0.000
Te 6.808 3.116 5.691
Te 4.350 0.000 6.012
Te 5.457 0.000 3.033
Te 2.999 -3.116 3.354
Te 6.363 -2.171 0.000
Te 6.946 0.000 8.301
Te 6.808 -3.116 5.691
H 0.063 0.000 2.583
H 9.743 0.000 6.462
```

## Properties
space-group type = C2/m, No. 12
total DFT energy (no corrections) = -0.21254 hartree per atom

No. 2
Here is an optimized crystal structure of SiTeIr3 from Alexandria. Energies are from GGA-PBE.

```
5
Lattice="4.861 0.000 0.000 0.000 4.861 0.000 0.000 0.000 4.861" Properties=species:S:1:pos:R:3 pbc="T T T"
Si 0.000 0.000 0.000
Te 2.430 2.430 2.430
Ir 0.000 2.430 2.430
Ir 2.430 0.000 2.430
Ir 2.430 2.430 0.000
```

## Properties
space-group type = Pm-3m, No. 221
formation energy (no corrections) = 1.81 eV/atom

No. 3
Here is an optimized crystal structure of Tm2U2C3 from Alexandria. Energies are from GGA-PBE.

```
14
Lattice="11.639 0.000 0.000 0.000 3.492 0.000 -1.018 0.000 5.958" Properties=species:S:1:pos:R:3 pbc="T T T"
Tm 1.159 0.000 2.218
Tm 3.642 1.746 3.740
Tm 6.979 1.746 2.218
Tm 9.461 0.000 3.740
U 0.540 1.746 5.238
U 4.261 0.000 0.720
U 6.360 0.000 5.238
U 10.081 1.746 0.720
C 0.000 0.000 0.000
C 2.061 0.000 4.619
C 2.740 1.746 1.339
C 5.820 1.746 0.000
C 7.880 1.746 4.619
C 8.560 0.000 1.339
```

## Properties
space-group type = C2/m, No. 12
formation enthalpy at 0 K = -0.179 eV per atom

No. 4
Here is an optimized crystal structure of PrDySc2 from Alexandria. Energies are from GGA-PBE.

```
12
Lattice="3.486 0.000 0.000 -1.743 3.019 0.000 0.000 0.000 32.976" Properties=species:S:1:pos:R:3 pbc="T T T"
Pr 0.000 0.000 0.000
Pr 0.000 2.013 21.984
Pr 1.743 1.006 10.992
Dy 0.000 0.000 5.480
Dy 0.000 2.013 27.464
Dy 1.743 1.006 16.472
Sc 0.000 0.000 13.778
Sc 0.000 0.000 19.176
Sc 0.000 2.013 2.786
Sc 0.000 2.013 8.184
Sc 1.743 1.006 24.770
Sc 1.743 1.006 30.168
```

## Properties
space-group type = R3m, No. 160
formation enthalpy at 0 K = 0.065 eV per atom

No. 5
Here is an optimized crystal structure of Y2CuSe from Alexandria. Energies are from GGA-PBE.

```
8
Lattice="4.341 0.000 0.000 0.000 5.438 0.000 0.000 0.000 7.716" Properties=species:S:1:pos:R:3 pbc="T T T"
Y 0.000 0.000 1.898
Y 0.000 0.000 5.817
Y 2.171 2.719 1.960
Y 2.171 2.719 5.756
Cu 0.000 2.719 0.000
Cu 2.171 0.000 3.858
Se 0.000 2.719 3.858
Se 2.171 0.000 0.000
```

## Properties
space-group type = Immm, No. 71
formation energy (no corrections) = -0.65 eV/atom

No. 6
Here is an optimized crystal structure of Nd7Sm2Mg2 from Alexandria. Energies are from GGA-PBE.

```
11
Lattice="5.428 -5.839 0.000 5.428 5.839 0.000 -2.321 0.000 5.760" Properties=species:S:1:pos:R:3 pbc="T T T"
Nd 0.000 0.000 0.000
Nd 1.605 3.025 4.675
Nd 4.091 0.000 1.158
Nd 6.929 3.025 1.085
Nd 1.605 -3.025 4.675
Nd 4.443 0.000 4.602
Nd 6.929 -3.025 1.085
Sm 0.860 0.000 3.413
Sm 7.674 0.000 2.347
Mg 4.267 3.154 2.880
Mg 4.267 -3.154 2.880
```

## Properties
space-group type = C2/m, No. 12
formation enthalpy at 0 K = 0.106 eV per atom

No. 7
Here is an optimized crystal structure of InGeCl3 from Alexandria. Energies are from GGA-PBE.

```
10
Lattice="-3.105 3.105 8.334 3.105 -3.105 8.334 3.105 3.105 -8.334" Properties=species:S:1:pos:R:3 pbc="T T T"
In 0.000 0.000 1.685
In 0.000 0.000 14.983
Ge 0.000 0.000 8.334
Ge 0.000 3.105 4.167
Cl 3.105 0.000 0.810
Cl 3.105 1.608 -2.309
Cl 3.105 0.000 7.524
Cl 0.000 1.498 6.025
Cl 1.608 3.105 2.309
Cl 1.498 0.000 10.643
```

## Properties
space-group type = I-4m2, No. 119
formation energy (no corrections) = -0.50 eV/atom

No. 8
Here is an optimized crystal structure of Ac6In2Ni from Alexandria. Energies are from GGA-PBE.

```
18
Lattice="7.026 0.000 0.000 0.000 9.245 0.000 -6.991 0.000 10.594" Properties=species:S:1:pos:R:3 pbc="T T T"
Ac -2.496 1.570 4.748
Ac -5.992 3.053 10.045
Ac -0.914 6.337 4.733
Ac -4.410 7.530 10.030
Ac 0.760 0.283 2.579
Ac -2.736 4.339 7.876
Ac 2.771 4.906 2.718
Ac -0.725 8.962 8.015
Ac 4.445 1.715 0.564
Ac 0.950 2.908 5.861
Ac 6.027 6.193 0.549
Ac 2.531 7.675 5.846
In -3.990 1.083 7.976
In -0.494 3.539 2.679
In 0.530 5.706 7.915
In 4.025 8.162 2.618
Ni 0.018 0.000 5.297
Ni 3.513 4.623 0.000
```

## Properties
space-group type = P2_1/c, No. 14
formation enthalpy at 0 K = -0.202 eV per atom

No. 9
Here is an optimized crystal structure of V6Ni3C from Alexandria. Energies are from GGA-PBE.

```
10
Lattice="4.506 -2.426 0.000 4.506 2.426 0.000 -4.195 0.000 5.689" Properties=species:S:1:pos:R:3 pbc="T T T"
V 0.674 1.232 4.117
V 1.927 0.000 0.460
V 4.143 1.232 1.572
V 0.674 -1.232 4.117
V 2.889 0.000 5.229
V 4.143 -1.232 1.572
Ni -1.426 0.000 3.786
Ni 2.408 0.000 2.845
Ni 6.243 0.000 1.903
C 0.000 0.000 0.000
```

## Properties
space-group type = C2/m, No. 12
formation enthalpy at 0 K = 0.013 eV per atom

No. 10
Here is an optimized crystal structure of CeGdMnCd from Alexandria. Energies are from GGA-PBE.

```
16
Lattice="7.370 0.000 0.000 0.000 7.370 0.000 0.000 0.000 7.370" Properties=species:S:1:pos:R:3 pbc="T T T"
Ce 0.000 0.000 0.000
Ce 0.000 3.685 3.685
Ce 3.685 0.000 3.685
Ce 3.685 3.685 0.000
Gd 0.000 0.000 3.685
Gd 0.000 3.685 0.000
Gd 3.685 0.000 0.000
Gd 3.685 3.685 3.685
Mn 1.842 1.842 1.842
Mn 1.842 5.527 5.527
Mn 5.527 1.842 5.527
Mn 5.527 5.527 1.842
Cd 1.842 1.842 5.527
Cd 1.842 5.527 1.842
Cd 5.527 1.842 1.842
Cd 5.527 5.527 5.527
```

## Properties
space-group type = F-43m, No. 216
formation enthalpy at 0 K = 0.036 eV per atom

No. 11
Here is an optimized crystal structure of AcNdTmGa from Alexandria. Energies are from GGA-PBE.

```
16
Lattice="7.806 0.000 0.000 0.000 7.806 0.000 0.000 0.000 7.806" Properties=species:S:1:pos:R:3 pbc="T T T"
Ac 0.000 0.000 0.000
Ac 0.000 3.903 3.903
Ac 3.903 0.000 3.903
Ac 3.903 3.903 0.000
Nd 1.951 1.951 5.854
Nd 1.951 5.854 1.951
Nd 5.854 1.951 1.951
Nd 5.854 5.854 5.854
Tm 1.951 1.951 1.951
Tm 1.951 5.854 5.854
Tm 5.854 1.951 5.854
Tm 5.854 5.854 1.951
Ga 0.000 0.000 3.903
Ga 0.000 3.903 0.000
Ga 3.903 0.000 0.000
Ga 3.903 3.903 3.903
```

## Properties
space-group type = F-43m, No. 216
formation enthalpy at 0 K = 0.045 eV per atom

No. 12
Here is an optimized crystal structure of FeBiBr2 from Alexandria. Energies are from GGA-PBE.

```
16
Lattice="7.027 0.000 0.000 0.000 7.027 0.000 0.000 0.000 10.256" Properties=species:S:1:pos:R:3 pbc="T T T"
Fe 0.000 0.000 0.000
Fe 0.000 3.513 2.564
Fe 3.513 0.000 7.692
Fe 3.513 3.513 5.128
Bi 0.000 0.000 5.128
Bi 0.000 3.513 7.692
Bi 3.513 0.000 2.564
Bi 3.513 3.513 0.000
Br 1.077 1.757 1.282
Br 1.757 4.590 3.846
Br 1.757 5.950 8.974
Br 2.437 1.757 6.410
Br 4.590 5.270 6.410
Br 5.270 1.077 8.974
Br 5.270 2.437 3.846
Br 5.950 5.270 1.282
```

## Properties
space-group type = I-42d, No. 122
formation energy (no corrections) = 0.29 eV/atom

No. 13
Here is an optimized crystal structure of Sc2Zn2Ga from Alexandria. Energies are from GGA-PBE.

```
10
Lattice="5.034 -2.139 0.000 5.034 2.139 0.000 -3.871 0.000 8.630" Properties=species:S:1:pos:R:3 pbc="T T T"
Sc -1.032 0.000 2.913
Sc 1.471 0.000 0.735
Sc 4.724 0.000 7.895
Sc 7.228 0.000 5.717
Zn 2.003 0.000 3.702
Zn 4.301 0.000 1.051
Zn 1.894 0.000 7.579
Zn 4.193 0.000 4.928
Ga 0.094 0.000 5.837
Ga 6.102 0.000 2.793
```

## Properties
space-group type = C2/m, No. 12
formation enthalpy at 0 K = -0.404 eV per atom

No. 14
Here is an optimized crystal structure of Ca2ScCuP from Alexandria. Energies are from GGA-PBE.

```
5
Lattice="5.658 0.000 0.000 0.000 5.658 0.000 0.000 0.000 4.220" Properties=species:S:1:pos:R:3 pbc="T T T"
Ca 0.000 2.829 0.000
Ca 2.829 0.000 0.000
Sc 0.000 0.000 2.110
Cu 2.829 2.829 0.000
P 2.829 2.829 2.110
```

## Properties
space-group type = P4/mmm, No. 123
formation enthalpy at 0 K = 0.131 eV per atom

No. 15
Here is an optimized crystal structure of BaBi2I from Alexandria. Energies are from GGA-PBE.

```
16
Lattice="8.457 0.000 0.000 0.000 8.457 0.000 0.000 0.000 8.457" Properties=species:S:1:pos:R:3 pbc="T T T"
Ba 0.000 0.000 0.000
Ba 0.000 4.229 4.229
Ba 4.229 0.000 4.229
Ba 4.229 4.229 0.000
Bi 2.114 2.114 2.114
Bi 2.114 2.114 6.343
Bi 2.114 6.343 2.114
Bi 2.114 6.343 6.343
Bi 6.343 2.114 2.114
Bi 6.343 2.114 6.343
Bi 6.343 6.343 2.114
Bi 6.343 6.343 6.343
I 0.000 0.000 4.229
I 0.000 4.229 0.000
I 4.229 0.000 0.000
I 4.229 4.229 4.229
```

## Properties
space-group type = Fm-3m, No. 225
formation energy (no corrections) = -0.10 eV/atom

No. 16
Here is an optimized crystal structure of Pr4Y2Er from Alexandria. Energies are from GGA-PBE.

```
14
Lattice="3.264 -12.260 0.000 3.264 12.260 0.000 -3.262 0.000 6.050" Properties=species:S:1:pos:R:3 pbc="T T T"
Pr 1.633 11.810 3.025
Pr 0.000 5.682 4.376
Pr 1.833 4.787 1.564
Pr 1.841 1.338 2.803
Pr 0.210 -1.338 5.828
Pr 1.631 -5.682 1.351
Pr 0.202 -4.787 4.589
Pr 3.264 -11.810 0.000
Y 1.486 8.360 1.886
Y -0.146 2.232 5.501
Y 1.485 -2.232 2.476
Y -0.146 -8.360 4.911
Er 0.241 9.194 5.207
Er 1.872 -9.194 2.182
```

## Properties
space-group type = Cc, No. 9
formation enthalpy at 0 K = 0.058 eV per atom

No. 17
Here is an optimized crystal structure of ScZn2S from Alexandria. Energies are from GGA-PBE.

```
16
Lattice="7.642 0.000 0.000 0.000 7.642 0.000 0.000 0.000 5.023" Properties=species:S:1:pos:R:3 pbc="T T T"
Sc 0.000 0.000 0.000
Sc 0.000 3.821 1.256
Sc 3.821 0.000 3.768
Sc 3.821 3.821 2.512
Zn 1.632 1.911 3.140
Zn 1.911 5.453 4.395
Zn 1.911 6.010 1.884
Zn 2.189 1.911 0.628
Zn 5.453 5.732 0.628
Zn 5.732 1.632 1.884
Zn 5.732 2.189 4.395
Zn 6.010 5.732 3.140
S 0.000 0.000 2.512
S 0.000 3.821 3.768
S 3.821 0.000 1.256
S 3.821 3.821 0.000
```

## Properties
space-group type = I-42d, No. 122
formation energy (no corrections) = -0.49 eV/atom

No. 18
Here is an optimized crystal structure of RbBeTlPd from Alexandria. Energies are from GGA-PBE.

```
8
Lattice="17.245 0.000 0.000 0.000 3.366 0.000 -0.623 0.000 3.281" Properties=species:S:1:pos:R:3 pbc="T T T"
Rb 0.000 0.000 0.000
Rb 8.623 1.683 0.000
Be 2.722 0.000 2.279
Be 11.345 1.683 2.279
Tl 5.375 0.000 1.083
Tl 13.998 1.683 1.083
Pd 2.973 1.683 0.630
Pd 11.596 0.000 0.630
```

## Properties
space-group type = Cm, No. 8
formation enthalpy at 0 K = 0.044 eV per atom

No. 19
Here is an optimized crystal structure of BaYInCl6 from Alexandria. Energies are from GGA-PBE.

```
18
Lattice="7.662 0.000 0.000 -3.831 6.636 0.000 0.000 0.000 12.852" Properties=species:S:1:pos:R:3 pbc="T T T"
Ba 0.000 4.424 3.213
Ba 3.831 2.212 9.639
Y 0.000 4.424 9.639
Y 3.831 2.212 3.213
In 0.000 0.000 0.000
In 0.000 0.000 6.426
Cl -1.144 2.545 8.135
Cl -2.199 4.373 11.143
Cl 1.144 2.545 11.143
Cl -1.055 6.354 8.135
Cl 2.776 0.282 1.709
Cl 1.633 2.263 4.717
Cl 2.199 4.373 8.135
Cl 1.055 6.354 11.143
Cl 4.886 0.282 4.717
Cl 2.688 4.091 1.709
Cl 6.030 2.263 1.709
Cl 4.975 4.091 4.717
```

## Properties
space-group type = P-31c, No. 163
formation energy (no corrections) = -2.03 eV/atom

No. 20
Here is an optimized crystal structure of BaZrP2O from Alexandria. Energies are from GGA-PBE.

```
5
Lattice="5.288 0.000 0.000 0.000 5.288 0.000 0.000 0.000 4.171" Properties=species:S:1:pos:R:3 pbc="T T T"
Ba 0.000 0.000 0.000
Zr 2.644 2.644 2.085
P 0.000 2.644 2.085
P 2.644 0.000 2.085
O 2.644 2.644 0.000
```

## Properties
space-group type = P4/mmm, No. 123
formation energy (no corrections) = -1.22 eV/atom